Entry 1:
Entry from the Alexandria database: a relaxed Cs2RbTeI6 crystal (PBE-GGA).

```
Cs2RbTeI6
1.0
-4.479 -2.303 -6.920
-1.074 -8.289 -1.839
-16.876 -3.758 6.882
Cs Rb Te I
4 2 2 12
Cartesian
-11.906 -10.688 -4.614
-10.523 -3.662 2.738
-19.435 -10.802 0.297
-2.994 -3.548 -2.174
-7.562 -7.120 -3.321
-14.867 -7.230 1.445
0.000 0.000 0.000
-11.215 -7.175 -0.938
-11.111 -6.511 -3.992
-9.331 -9.639 -1.337
-8.770 -5.308 -0.376
-11.318 -7.839 2.116
-13.098 -4.710 -0.539
-13.659 -9.042 -1.500
-18.537 -6.671 1.069
-16.887 -9.572 3.532
-16.367 -5.555 4.423
-3.892 -7.679 -2.946
-5.542 -4.778 -5.408
-6.063 -8.795 -6.299
```

Crystal system ... trigonal
VASP energy ... -2.396 eV/atom
Uncorrected formation energy ... -0.88 eV/atom
Excess energy over the best structure of this formula in the dataset ... 0.000 eV/atom

Entry 2:
Entry from the Alexandria database: a relaxed FeRe3H crystal (PBE-GGA).

```
FeRe3H
1.0
3.876 0.000 0.000
0.000 3.876 0.000
0.000 0.000 3.876
Re Fe H
3 1 1
Cartesian
0.000 1.938 0.000
0.000 0.000 1.938
1.938 0.000 0.000
1.938 1.938 1.938
0.000 0.000 0.000
```

Crystal system ... cubic
VASP energy ... -9.611 eV/atom
Excess energy over the best structure of this formula in the dataset ... 0.000 eV/atom

Entry 3:
Entry from the Alexandria database: a relaxed SrMn2Ag crystal (PBE-GGA).

```
SrMn2Ag
1.0
0.000 3.522 3.522
3.522 0.000 3.522
3.522 3.522 0.000
Sr Mn Ag
1 2 1
Cartesian
0.000 0.000 0.000
1.761 1.761 1.761
5.283 5.283 5.283
3.522 3.522 3.522
```

Crystal system ... cubic
VASP energy ... -5.098 eV/atom
ΔH_f (0 K) ... 0.621 eV per atom

Entry 4:
Entry from the Alexandria database: a relaxed SrCoSe2 crystal (PBE-GGA).

```
SrCoSe2
1.0
4.248 -0.103 0.000
-2.427 3.488 0.000
0.000 0.000 7.321
Co Se Sr
1 2 1
Cartesian
0.911 1.693 5.491
0.000 0.000 6.952
0.000 0.000 4.031
0.911 1.693 1.830
```

Crystal system ... orthorhombic
VASP energy ... -4.468 eV/atom
Uncorrected formation energy ... -0.53 eV/atom
Excess energy over the best structure of this formula in the dataset ... 0.397 eV/atom

Entry 5:
Entry from the Alexandria database: a relaxed Ba2AlTe crystal (PBE-GGA).

```
Ba2AlTe
1.0
-2.574 0.730 -3.057
-0.256 -3.988 -0.731
-7.414 -0.641 6.088
Te Ba Al
1 2 1
Cartesian
-4.137 -0.358 3.397
-6.873 -0.594 5.644
-3.817 -1.837 0.079
-6.536 -2.072 2.312
```

Crystal system ... tetragonal
VASP energy ... -3.055 eV/atom
Uncorrected formation energy ... -0.37 eV/atom
Excess energy over the best structure of this formula in the dataset ... 0.358 eV/atom

Entry 6:
Entry from the Alexandria database: a relaxed Ba6RhS crystal (PBE-GGA).

```
Ba6RhS
1.0
6.960 0.006 3.624
2.518 6.473 3.646
-0.129 -0.113 8.739
Ba Rh S
6 1 1
Cartesian
1.552 2.501 8.386
5.376 0.517 9.665
4.775 1.574 5.219
3.975 5.850 6.343
7.799 3.865 7.623
4.576 4.793 10.790
0.000 0.000 0.000
4.675 3.183 8.004
```

Crystal system ... trigonal
VASP energy ... -3.420 eV/atom
Uncorrected formation energy ... -0.54 eV/atom

Entry 7:
Entry from the Alexandria database: a relaxed Ta4ZnIr crystal (PBE-GGA).

```
Ta4ZnIr
1.0
0.000 3.779 3.779
3.779 0.000 3.779
3.779 3.779 0.000
Ta Zn Ir
4 1 1
Cartesian
2.839 4.718 4.718
4.718 4.718 2.839
4.718 2.839 4.718
2.839 2.839 2.839
5.668 5.668 5.668
0.000 0.000 0.000
```

Crystal system ... cubic
VASP energy ... -9.225 eV/atom
ΔH_f (0 K) ... 0.366 eV per atom

Entry 8:
Entry from the Alexandria database: a relaxed Li2NiCl crystal (PBE-GGA).

```
Li2NiCl
1.0
-2.533 -3.421 -1.021
2.120 -0.435 -3.800
2.027 -1.903 1.349
Cl Li Ni
1 2 1
Cartesian
2.073 -1.169 -1.226
0.000 0.000 0.000
-0.207 -1.928 -2.411
-0.253 -2.662 0.164
```

Crystal system ... tetragonal
VASP energy ... -3.177 eV/atom
Uncorrected formation energy ... -0.31 eV/atom
Excess energy over the best structure of this formula in the dataset ... 0.189 eV/atom

Entry 9:
Entry from the Alexandria database: a relaxed Sr2MnIrAu crystal (PBE-GGA).

```
Sr2MnIrAu
1.0
5.707 0.000 0.000
0.000 5.120 0.000
0.000 0.000 5.707
Sr Ir Au Mn
2 1 1 1
Cartesian
0.000 0.000 2.853
2.853 0.000 0.000
0.000 0.000 0.000
0.000 2.560 0.000
2.853 2.560 2.853
```

Crystal system ... tetragonal
VASP energy ... -4.511 eV/atom
ΔH_f (0 K) ... 0.424 eV per atom

Entry 10:
Entry from the Alexandria database: a relaxed CeMgIn crystal (PBE-GGA).

```
CeMgIn
1.0
-0.362 -1.506 5.774
4.089 -0.778 3.148
-0.241 5.195 4.434
Mg Ce In
2 2 2
Cartesian
1.652 1.079 8.122
1.833 1.832 5.235
0.966 -1.514 5.855
2.760 -0.770 3.067
-0.407 2.966 6.937
-0.196 0.723 3.271
```

Crystal system ... orthorhombic
VASP energy ... -3.536 eV/atom
ΔH_f (0 K) ... -0.114 eV per atom

Entry 11:
Entry from the Alexandria database: a relaxed ErTmLuSc crystal (PBE-GGA).

```
ErTmLuSc
1.0
-4.928 1.858 1.457
-2.572 -2.164 4.309
-0.574 2.915 4.586
Sc Lu Tm Er
1 1 1 1
Cartesian
0.000 0.000 0.000
-4.037 1.305 5.176
-6.055 1.958 7.765
-2.018 0.653 2.588
```

Crystal system ... cubic
VASP energy ... -4.848 eV/atom
ΔH_f (0 K) ... 0.124 eV per atom

Entry 12:
Entry from the Alexandria database: a relaxed RbRhF2 crystal (PBE-GGA).

```
RbRhF2
1.0
5.536 -1.048 3.959
5.116 -4.250 1.784
6.796 -1.078 0.276
Rh Rb F
1 1 2
Cartesian
8.724 -3.188 3.009
0.000 0.000 0.000
15.204 -5.556 5.245
2.244 -0.820 0.774
```

Crystal system ... trigonal
VASP energy ... -4.033 eV/atom
Uncorrected formation energy ... -1.02 eV/atom
Excess energy over the best structure of this formula in the dataset ... 0.311 eV/atom

no.,volume (Å³/f.u.)
1,569.0
2,58.2
3,87.4
4,106.7
5,158.7
6,398.5
7,107.9
8,59.2
9,166.7
10,78.6
11,115.4
12,85.4